First-principles (PBE+U) data for an optimized crystal structure of Na2TiMn2O6, as listed in Alexandria.

a = 5.116 Å, b = 5.116 Å, c = 5.818 Å
α = 99.07°, β = 99.07°, γ = 119.56°
Element x y z (fractional)
Na: 0.171 0.829 0.000
Na: 0.829 0.171 0.000
Ti: 0.000 0.000 0.500
Mn: 0.334 0.666 0.500
Mn: 0.666 0.334 0.500
O: 0.056 0.392 0.690
O: 0.264 0.264 0.313
O: 0.392 0.056 0.690
O: 0.608 0.944 0.310
O: 0.736 0.736 0.687
O: 0.944 0.608 0.310

Summary:
- size of the total moment (Bohr magnetons per cell) = 4.000
- total DFT energy (no corrections) (eV per atom) = -6.8599
- SG = No. 12